A geometry-optimized SmGd2Se3 structure, computed with PBE.

Cell: 4.1217 4.1217 10.1363 Å, 90.00 90.00 120.00°
Sites, in units of the cell vectors:
Sm 0.0000 0.0000 0.0000
Gd 0.3333 0.6667 0.6657
Gd 0.6667 0.3333 0.3343
Se 0.0000 0.0000 0.5000
Se 0.3333 0.6667 0.1708
Se 0.6667 0.3333 0.8292

## Properties
Calculated total energy = -35.295 eV/f.u.
Space-group type = No. 164